Cs2RbBi3O8 after structural relaxation, computed with GGA-PBE.

```
Cs2RbBi3O8
1.0
-5.420 0.837 -4.440
-6.221 -3.010 1.420
-5.905 5.149 2.572
O Rb Bi Cs
8 1 3 2
Cartesian
-7.799 3.865 1.471 O
-9.765 -0.838 -1.886 O
-7.063 0.470 -2.503 O
-10.153 4.229 -0.458 O
-10.501 2.558 2.088 O
-4.225 0.274 -0.398 O
-7.411 -1.201 0.042 O
-13.333 2.733 -0.030 O
-12.349 -0.120 -1.769 Rb
-8.938 -2.570 -0.788 Bi
-5.829 -1.066 -1.498 Bi
-8.537 -0.648 -3.716 Bi
-5.148 2.952 1.234 Cs
-8.781 1.509 -0.211 Cs
```

Properties
- N(E_F): 0.969 states/eV/cell
- E: -4.98 eV/atom
- Formation energy from raw total energies: -1.121 eV/atom
- Space-group type: No. 160

=====

Al2Ni after structural relaxation, computed with GGA-PBE.

```
Al2Ni
1.0
4.826 -0.008 0.010
3.919 2.817 0.010
3.150 1.012 6.103
Al Ni
4 2
Cartesian
2.127 0.683 1.992 Al
8.328 2.675 0.403 Al
5.625 1.807 4.578 Al
7.981 2.564 3.921 Al
5.870 1.886 0.098 Ni
4.585 1.473 2.297 Ni
```

Properties
- N(E_F): 1.498 states/eV/cell
- E: -4.88 eV/atom
- Space-group type: No. 12

=====

LaBTeI2 after structural relaxation, computed with GGA-PBE.

```
LaBTeI2
1.0
6.237 0.000 0.000
0.000 6.237 0.000
0.000 0.000 6.304
La I Te B
1 2 1 1
Cartesian
0.000 0.000 0.000 La
3.119 0.000 0.000 I
0.000 3.119 0.000 I
0.000 0.000 3.152 Te
3.119 3.119 3.152 B
```

Properties
- E above lowest polymorph: 348.2 meV per atom
- N(E_F): 1.696 states/eV/cell
- E: -3.28 eV/atom
- Formation energy from raw total energies: 0.289 eV/atom
- Space-group type: No. 123

=====

YAsP2 after structural relaxation, computed with GGA-PBE.

```
YAsP2
1.0
-4.964 -3.181 -1.040
2.339 -4.628 2.992
-3.754 -1.790 6.156
P As Y
4 2 2
Cartesian
-5.192 -8.017 6.222 P
-0.267 -3.847 3.243 P
-3.719 -4.430 5.451 P
-3.578 -2.905 1.298 P
-1.312 -3.905 0.976 As
-1.363 -5.162 5.062 As
0.000 0.000 0.000 Y
-5.015 -4.438 3.046 Y
```

Properties
- N(E_F): 0.371 states/eV/cell
- E: -5.77 eV/atom
- Space-group type: No. 122

=====

What did the third record say?
LaBTeI2 after structural relaxation, computed with GGA-PBE.

```
LaBTeI2
1.0
6.237 0.000 0.000
0.000 6.237 0.000
0.000 0.000 6.304
La I Te B
1 2 1 1
Cartesian
0.000 0.000 0.000 La
3.119 0.000 0.000 I
0.000 3.119 0.000 I
0.000 0.000 3.152 Te
3.119 3.119 3.152 B
```

Properties
- E above lowest polymorph: 348.2 meV per atom
- N(E_F): 1.696 states/eV/cell
- E: -3.28 eV/atom
- Formation energy from raw total energies: 0.289 eV/atom
- Space-group type: No. 123